! ReTc2Ir | the Alexandria database | PBE-GGA | optimized geometry; values from VASP
&SYSTEM
  ibrav = 0, nat = 4, ntyp = 3
/
ATOMIC_SPECIES
Ir 192.22 Ir.upf
Re 186.21 Re.upf
Tc 98.00 Tc.upf
CELL_PARAMETERS angstrom
0.000 3.102 3.102
3.102 0.000 3.102
3.102 3.102 0.000
ATOMIC_POSITIONS angstrom
Ir 3.102 3.102 3.102
Re 0.000 0.000 0.000
Tc 4.653 4.653 4.653
Tc 1.551 1.551 1.551
! **Formation enthalpy at 0 K**: 0.339 eV per atom